# 1
An optimized crystal structure of Tb2CeYS6. Source: Alexandria, functional PBE.

Results
ρ in Mg/m³: 4.64
Calculated volume in Å³/atom: 26.45
Total magnetic moment in μB per formula unit: 1.0
Raw total energy in eV per formula unit: -66.6
ΔE_f (raw) in eV per atom: -2.022

Unit cell a=7.4150 b=7.4150 c=7.4150 alpha=56.44 beta=56.44 gamma=56.44
With the nearest neighbours (Å) after each atom.
Atoms (fractional coordinates):
Tb: 0.0000 0.0000 0.0000  6 S 2.72-2.80
Tb: 0.4969 0.4969 0.4969  6 S 2.74-2.80
Ce: 0.2040 0.2040 0.2040  6 S 2.81-2.90
Y: 0.6995 0.6995 0.6995  6 S 2.74-2.79
S: 0.0988 0.4006 0.7949  2 Tb 2.74-2.80, 1 Y 2.74, 1 Ce 2.90
S: 0.2968 0.8843 0.6148  2 Tb 2.72-2.80, 1 Y 2.79, 1 Ce 2.81
S: 0.4006 0.7949 0.0988  2 Tb 2.74-2.80, 1 Y 2.74, 1 Ce 2.90
S: 0.6148 0.2968 0.8843  2 Tb 2.72-2.80, 1 Y 2.79, 1 Ce 2.81
S: 0.7949 0.0988 0.4006  2 Tb 2.74-2.80, 1 Y 2.74, 1 Ce 2.90
S: 0.8843 0.6148 0.2968  2 Tb 2.72-2.80, 1 Y 2.79, 1 Ce 2.81


# 2
An optimized crystal structure of Li3ErCu8. Source: Alexandria, functional PBE.

Results
ρ in Mg/m³: 6.65
Calculated volume in Å³/atom: 14.50
Total magnetic moment in μB per formula unit: 0.0
Raw total energy in eV per formula unit: -44.6
ΔE_f in eV/atom: -0.126

Unit cell a=4.9771 b=4.9771 c=8.1089 alpha=90.00 beta=90.00 gamma=120.00
With the nearest neighbours (Å) after each atom.
Atoms (fractional coordinates):
Li: 0.0000 0.0000 0.0000  12 Cu 2.84-2.93, 4 Li 2.84-2.98
Li: 0.0000 0.0000 0.3500  9 Cu 2.81-2.97, 1 Li 2.84
Li: 0.3333 0.6667 0.9037  12 Cu 2.73-3.00, 3 Li 2.98
Er: 0.3333 0.6667 0.5071  12 Cu 2.92-2.94, 4 Li 3.14-3.22
Cu: 0.0020 0.5010 0.1901  6 Cu 2.47-2.50, 1 Li 2.73
Cu: 0.3284 0.1642 0.6970  6 Cu 2.45-2.53
Cu: 0.4990 0.5010 0.1901  6 Cu 2.47-2.50, 1 Li 2.73
Cu: 0.4990 0.9980 0.1901  6 Cu 2.47-2.50, 1 Li 2.73
Cu: 0.6667 0.3333 0.4414  6 Cu 2.50-2.53
Cu: 0.6667 0.3333 0.9422  6 Cu 2.47-2.48
Cu: 0.8358 0.1642 0.6970  6 Cu 2.45-2.53
Cu: 0.8358 0.6716 0.6970  6 Cu 2.45-2.53


# 3
An optimized crystal structure of BaH4Cl2O2. Source: Alexandria, functional PBE.

Results
ρ in Mg/m³: 2.99
Calculated volume in Å³/atom: 15.05
E above lowest polymorph in meV per atom: 0
Total magnetic moment in μB per formula unit: 0.0
Raw total energy in eV per formula unit: -42.9

Unit cell a=6.8968 b=11.1339 c=9.8044 alpha=90.00 beta=133.95 gamma=90.00
With the nearest neighbours (Å) after each atom.
Atoms (fractional coordinates):
Ba: 0.1058 0.2182 0.1424  4 O 2.87-2.92, 2 Cl 3.15-3.20
Ba: 0.1058 0.2818 0.6424  4 O 2.87-2.92, 2 Cl 3.15-3.20
Ba: 0.8942 0.7182 0.3576  4 O 2.87-2.92, 2 Cl 3.15-3.20
Ba: 0.8942 0.7818 0.8576  4 O 2.87-2.92, 2 Cl 3.15-3.20
H: 0.2344 0.0633 0.4808  1 O 0.98
H: 0.2344 0.4367 0.9808  1 O 0.98
H: 0.4231 0.6256 0.4522  1 O 1.00
H: 0.4231 0.8744 0.9522  1 O 1.00
H: 0.4741 0.5610 0.6182  1 O 0.99
H: 0.4741 0.9390 0.1182  1 O 0.99
H: 0.5005 0.1348 0.5978  1 O 1.00
H: 0.5005 0.3652 0.0978  1 O 1.00
H: 0.4995 0.6348 0.9022  1 O 1.00
H: 0.4995 0.8652 0.4022  1 O 1.00
H: 0.5259 0.0610 0.8818  1 O 0.99
H: 0.5259 0.4390 0.3818  1 O 0.99
H: 0.5769 0.1256 0.0478  1 O 1.00
H: 0.5769 0.3744 0.5478  1 O 1.00
H: 0.7656 0.5633 0.0192  1 O 0.98
H: 0.7656 0.9367 0.5192  1 O 0.98
Cl: 0.0847 0.5848 0.7173  1 H 2.14
Cl: 0.0847 0.9152 0.2173  1 H 2.14
Cl: 0.3509 0.6017 0.2073  2 H 2.10-2.19
Cl: 0.3509 0.8983 0.7073  2 H 2.10-2.19
Cl: 0.6491 0.1017 0.2927  2 H 2.10-2.19
Cl: 0.6491 0.3983 0.7927  2 H 2.10-2.19
Cl: 0.9153 0.0848 0.7827  1 H 2.14
Cl: 0.9153 0.4152 0.2827  1 H 2.14
O: 0.3014 0.1460 0.5036  2 H 0.98-1.00
O: 0.3014 0.3540 0.0036  2 H 0.98-1.00
O: 0.4317 0.6402 0.5565  2 H 0.99-1.00
O: 0.4317 0.8598 0.0565  2 H 0.99-1.00
O: 0.5683 0.1402 0.9435  2 H 0.99-1.00
O: 0.5683 0.3598 0.4435  2 H 0.99-1.00
O: 0.6986 0.6460 0.9964  2 H 0.98-1.00
O: 0.6986 0.8540 0.4964  2 H 0.98-1.00


# 4
An optimized crystal structure of BeNi2As. Source: Alexandria, functional PBE.

Results
ρ in Mg/m³: 6.77
Calculated volume in Å³/atom: 12.34
E above lowest polymorph in meV per atom: 224
Total magnetic moment in μB per formula unit: 0.0
Raw total energy in eV per formula unit: -19.8
ΔE_f in eV/atom: 0.035

Unit cell a=8.1848 b=8.1848 c=8.1848 alpha=154.87 beta=154.87 gamma=35.83
With the nearest neighbours (Å) after each atom.
Atoms (fractional coordinates):
Be: 0.0000 0.0000 0.0000  4 Ni 2.31, 4 As 2.52
Be: 0.7500 0.2500 0.5000  4 Ni 2.31, 4 As 2.52
Ni: 0.1168 0.6250 0.9918  2 Be 2.31, 2 As 2.33, 4 Ni 2.48-2.56
Ni: 0.3750 0.3668 0.4918  2 Be 2.31, 2 As 2.33, 4 Ni 2.48-2.56
Ni: 0.6332 0.1250 0.0082  2 Be 2.31, 2 As 2.33, 4 Ni 2.48-2.56
Ni: 0.8750 0.8832 0.5082  2 Be 2.31, 2 As 2.33, 4 Ni 2.48-2.56
As: 0.2500 0.7500 0.5000  4 Ni 2.33, 4 Be 2.52
As: 0.5000 0.5000 0.0000  4 Ni 2.33, 4 Be 2.52


# 5
An optimized crystal structure of PaRe2Os. Source: Alexandria, functional PBE.

Results
ρ in Mg/m³: 19.05
Calculated volume in Å³/atom: 17.30
E above lowest polymorph in meV per atom: 452
Total magnetic moment in μB per formula unit: 0.0
Raw total energy in eV per formula unit: -43.2
ΔE_f in eV/atom: 0.616

Unit cell a=9.8851 b=9.8851 c=9.8851 alpha=16.65 beta=16.65 gamma=16.65
With the nearest neighbours (Å) after each atom.
Atoms (fractional coordinates):
Pa: 0.0000 0.0000 0.0000  2 Re 2.72, 6 Pa 2.86
Re: 0.0931 0.0931 0.0931  3 Os 2.71, 1 Pa 2.72, 6 Re 2.86
Re: 0.9069 0.9069 0.9069  3 Os 2.71, 1 Pa 2.72, 6 Re 2.86
Os: 0.5000 0.5000 0.5000  6 Re 2.71, 6 Os 2.86


# 6
An optimized crystal structure of Tm2HN. Source: Alexandria, functional PBE.

Results
ρ in Mg/m³: 9.30
Calculated volume in Å³/atom: 15.75
Total magnetic moment in μB per formula unit: 0.0
Raw total energy in eV per formula unit: -24.6

Unit cell a=6.3913 b=6.3913 c=6.3913 alpha=31.43 beta=31.43 gamma=31.43
With the nearest neighbours (Å) after each atom.
Atoms (fractional coordinates):
Tm: 0.0000 0.0000 0.0000  3 H 2.07
Tm: 0.1890 0.1890 0.1890  3 N 2.29
H: 0.3624 0.3624 0.3624  3 Tm 2.07
N: 0.5836 0.5836 0.5836  6 Tm 2.29-2.51


# 7
An optimized crystal structure of LaCd3Pt8. Source: Alexandria, functional PBE.

Results
ρ in Mg/m³: 15.03
Calculated volume in Å³/atom: 18.75
Total magnetic moment in μB per formula unit: 0.0
Raw total energy in eV per formula unit: -61.5
ΔE_f in eV/atom: -0.459

Unit cell a=5.4427 b=5.4427 c=8.7714 alpha=90.00 beta=90.00 gamma=120.00
With the nearest neighbours (Å) after each atom.
Atoms (fractional coordinates):
La: 0.0000 0.0000 0.0000  12 Pt 3.14-3.24, 4 Cd 3.42-3.45
Cd: 0.0000 0.0000 0.3898  12 Pt 2.95-3.29, 3 Cd 3.23
Cd: 0.6667 0.3333 0.4763  12 Pt 3.03-3.24, 4 Cd 3.17-3.23
Cd: 0.6667 0.3333 0.8374  12 Pt 3.07-3.37, 1 Cd 3.17
Pt: 0.1649 0.3297 0.6758  6 Pt 2.69-2.75, 1 Cd 2.95
Pt: 0.1649 0.8351 0.6758  6 Pt 2.69-2.75, 1 Cd 2.95
Pt: 0.3333 0.6667 0.4256  6 Pt 2.69-2.71
Pt: 0.3333 0.6667 0.9268  6 Pt 2.71-2.73
Pt: 0.5027 0.0055 0.1787  6 Pt 2.68-2.77
Pt: 0.5027 0.4973 0.1787  6 Pt 2.68-2.77
Pt: 0.6703 0.8351 0.6758  6 Pt 2.69-2.75, 1 Cd 2.95
Pt: 0.9945 0.4973 0.1787  6 Pt 2.68-2.77


# 8
An optimized crystal structure of AgSbTe16Pb14. Source: Alexandria, functional PBE.

Results
ρ in Mg/m³: 7.78
Calculated volume in Å³/atom: 34.52
Total magnetic moment in μB per formula unit: 0.0
Raw total energy in eV per formula unit: -120.5
ΔE_f (raw) in eV per atom: -0.354

Unit cell a=14.5034 b=14.5034 c=14.5034 alpha=142.87 beta=142.87 gamma=53.52
With the nearest neighbours (Å) after each atom.
Atoms (fractional coordinates):
Ag: 0.0000 0.0000 0.0000  2 Te 2.93
Sb: 0.5000 0.5000 0.0000  6 Te 3.16
Te: 0.0000 0.0000 0.5000  6 Pb 3.27
Te: 0.0000 0.5000 0.0000  6 Pb 3.27
Te: 0.1130 0.1130 0.0000  1 Ag 2.93, 4 Pb 3.27
Te: 0.1251 0.6251 0.5000  6 Pb 3.24-3.27
Te: 0.2584 0.2584 0.5168  1 Sb 3.16, 4 Pb 3.21-3.27, 1 Ag 3.37
Te: 0.2584 0.7416 0.0000  1 Sb 3.16, 4 Pb 3.21-3.27, 1 Ag 3.37
Te: 0.3749 0.8749 0.5000  6 Pb 3.24-3.27
Te: 0.3779 0.3779 0.0000  1 Sb 3.16, 5 Pb 3.27-3.42
Te: 0.5000 0.0000 0.0000  6 Pb 3.27
Te: 0.5000 0.5000 0.5000  6 Pb 3.27
Te: 0.6221 0.6221 0.0000  1 Sb 3.16, 5 Pb 3.27-3.42
Te: 0.6251 0.1251 0.5000  6 Pb 3.24-3.27
Te: 0.7416 0.2584 0.0000  1 Sb 3.16, 4 Pb 3.21-3.27, 1 Ag 3.37
Te: 0.7416 0.7416 0.4832  1 Sb 3.16, 4 Pb 3.21-3.27, 1 Ag 3.37
Te: 0.8749 0.3749 0.5000  6 Pb 3.24-3.27
Te: 0.8870 0.8870 0.0000  1 Ag 2.93, 4 Pb 3.27
Pb: 0.0000 0.5000 0.5000  6 Te 3.24-3.27
Pb: 0.1255 0.1255 0.4987  6 Te 3.21-3.27
Pb: 0.1255 0.6268 0.0000  6 Te 3.21-3.27
Pb: 0.2459 0.2459 0.0000  6 Te 3.27-3.44
Pb: 0.2500 0.7500 0.5000  6 Te 3.24-3.27
Pb: 0.3732 0.3732 0.4987  6 Te 3.21-3.27
Pb: 0.3732 0.8745 0.0000  6 Te 3.21-3.27
Pb: 0.5000 0.0000 0.5000  6 Te 3.24-3.27
Pb: 0.6268 0.1255 0.0000  6 Te 3.21-3.27
Pb: 0.6268 0.6268 0.5013  6 Te 3.21-3.27
Pb: 0.7500 0.2500 0.5000  6 Te 3.24-3.27
Pb: 0.7541 0.7541 0.0000  6 Te 3.27-3.44
Pb: 0.8745 0.3732 0.0000  6 Te 3.21-3.27
Pb: 0.8745 0.8745 0.5013  6 Te 3.21-3.27


- Which formula does entry 3 have?
  BaH4Cl2O2


- total magnetic moment of number 7 (LaCd3Pt8)?
  0.0 μB per formula unit